This record from Alexandria describes crystalline TlHBrCl at its relaxed geometry. The functional is PBE.

As for the space group: Cm, No. 8. The total energy comes out at -2.99 eV per atom.

a b c (Å): 5.3995 4.9895 7.1077
angles (deg): 83.00 67.68 57.24
Closest atoms and distances in Å follow each position.
Fractional coordinates of all 4 atoms:
1 Tl 0.5248 0.6156 0.3348  3 Br 3.23-3.26, 3 Cl 3.53-3.57
2 H 0.5077 0.1437 0.8409  1 Cl 1.36
3 Br 0.7560 0.9487 0.5393  1 H 2.06
4 Cl 0.3406 0.2800 0.0388  1 H 1.36